# Pr2MnAlO6

A relaxed structure of Pr2MnAlO6 (PBE+U, Alexandria).

Geometry as CIF:
```
data_Pr2MnAlO6
_symmetry_space_group_name_H-M 'P 4/m m m'
_symmetry_Int_Tables_number 123
_symmetry_space_group_name_Hall '-P 4 2'
_cell_length_a 3.863
_cell_length_b 3.863
_cell_length_c 7.712
_cell_angle_alpha 90.00
_cell_angle_beta 90.00
_cell_angle_gamma 90.00
loop_
_atom_site_label
_atom_site_type_symbol
_atom_site_fract_x
_atom_site_fract_y
_atom_site_fract_z
Pr1 Pr 0.000 0.000 0.246
Mn1 Mn 0.500 0.500 0.500
Al1 Al 0.500 0.500 0.000
O1 O 0.000 0.500 0.000
O2 O 0.000 0.500 0.500
O3 O 0.500 0.500 0.241
```

Properties
total energy: -0.577 Ry per atom
M_tot: 4.00 μB/cell